No. 1
{"formula": "Cu2NiRu", "functional": "PBE-GGA", "state": "relaxed", "cell": [[1.329, -2.176, 0.000], [1.329, 2.176, 0.000], [0.000, 0.000, 8.677]], "species": ["Cu", "Cu", "Ni", "Ru"], "frac_coords": [[0.000, 0.000, 0.239], [0.000, 0.000, 0.761], [0.500, 0.500, 0.000], [0.500, 0.500, 0.500]], "sg": "Cmmm (65)", "delta_e_f_mev_per_atom": 248}


No. 2
{"formula": "La3CF", "functional": "PBE-GGA", "state": "relaxed", "cell": [[5.162, 0.000, 0.000], [0.000, 5.162, 0.000], [0.000, 0.000, 5.162]], "species": ["La", "La", "La", "C", "F"], "frac_coords": [[0.000, 0.000, 0.500], [0.000, 0.500, 0.000], [0.500, 0.000, 0.000], [0.000, 0.000, 0.000], [0.500, 0.500, 0.500]], "raw_formation_energy_ev_per_atom": -0.3777, "sg": "Pm-3m (221)"}


No. 3
{"formula": "Y2MgZn12Cu3", "functional": "PBE-GGA", "state": "relaxed", "cell": [[4.452, 2.570, 5.452], [-4.452, 2.570, 5.452], [0.000, -5.141, 5.452]], "species": ["Y", "Y", "Mg", "Zn", "Zn", "Zn", "Zn", "Zn", "Zn", "Zn", "Zn", "Zn", "Zn", "Zn", "Zn", "Cu", "Cu", "Cu"], "frac_coords": [[0.102, 0.102, 0.102], [0.898, 0.898, 0.898], [0.500, 0.500, 0.500], [0.136, 0.649, 0.649], [0.200, 0.200, 0.669], [0.200, 0.669, 0.200], [0.331, 0.800, 0.800], [0.351, 0.351, 0.864], [0.351, 0.864, 0.351], [0.649, 0.136, 0.649], [0.649, 0.649, 0.136], [0.669, 0.200, 0.200], [0.800, 0.331, 0.800], [0.800, 0.800, 0.331], [0.864, 0.351, 0.351], [0.000, 0.500, 0.500], [0.500, 0.000, 0.500], [0.500, 0.500, 0.000]], "sg": "R-3m (166)", "delta_e_f_mev_per_atom": 215}


No. 4
{"formula": "DyTiCu2", "functional": "PBE-GGA", "state": "relaxed", "cell": [[3.249, 0.000, 0.000], [0.000, 3.249, 0.000], [0.000, 0.000, 6.641]], "species": ["Dy", "Ti", "Cu", "Cu"], "frac_coords": [[0.000, 0.000, 0.000], [0.000, 0.000, 0.500], [0.500, 0.500, 0.297], [0.500, 0.500, 0.703]], "sg": "P4/mmm (123)", "delta_e_f_mev_per_atom": -95}


no.,ρ (g/cm3),total DFT energy (no corrections) (eV per atom)
1,9.495,-5.564
2,5.407,-5.553
3,5.224,-2.124
4,7.992,-5.268